Entry 1:
Below is crystalline Sb2HF6 at its relaxed geometry, with properties calculated at the GGA-PBE level.

abc: 8.133 6.013 6.013
angles: 102.66 87.64 87.64
Atoms (fractional coordinates):
Sb1 0.291 0.657 0.849
Sb2 0.709 0.343 0.151
Sb3 0.209 0.151 0.343
Sb4 0.791 0.849 0.657
F1 0.826 0.054 0.445
F2 0.108 0.480 0.696
F3 0.104 0.807 0.064
F4 0.892 0.520 0.304
F5 0.392 0.304 0.520
F6 0.674 0.555 0.946
F7 0.396 0.936 0.193
F8 0.896 0.193 0.936
F9 0.608 0.696 0.480
F10 0.326 0.445 0.054
F11 0.174 0.946 0.555
F12 0.604 0.064 0.807
H1 0.250 0.095 0.905
H2 0.750 0.905 0.095

ρ = 4.16 g/cm3
VASP energy = -4.35 eV per atom


Entry 2:
Below is crystalline SbHF at its relaxed geometry, with properties calculated at the GGA-PBE level.

abc: 3.237 4.874 7.344
angles: 108.03 101.30 91.71
Atoms (fractional coordinates):
F1 0.305 0.384 0.138
F2 0.695 0.616 0.862
H1 0.516 0.243 0.508
H2 0.484 0.757 0.492
Sb1 0.620 0.178 0.741
Sb2 0.380 0.822 0.259

ρ = 4.38 g/cm3
VASP energy = -3.89 eV per atom


Entry 3:
Below is crystalline SbHF at its relaxed geometry, with properties calculated at the GGA-PBE level.

abc: 3.256 4.388 7.800
angles: 96.37 90.21 90.41
Atoms (fractional coordinates):
H1 0.254 0.276 0.074
H2 0.746 0.724 0.926
Sb1 0.744 0.681 0.702
Sb2 0.256 0.319 0.298
F1 0.258 0.809 0.269
F2 0.742 0.191 0.731

ρ = 4.25 g/cm3
VASP energy = -3.91 eV per atom


Entry 4:
Below is crystalline SbH2F at its relaxed geometry, with properties calculated at the GGA-PBE level.

abc: 3.924 3.924 7.027
angles: 73.79 73.79 90.00
Atoms (fractional coordinates):
H1 0.375 0.221 0.750
H2 0.779 0.125 0.250
H3 0.875 0.029 0.750
H4 0.971 0.625 0.250
F1 0.500 0.500 0.000
F2 0.250 0.750 0.500
Sb1 0.750 0.250 0.500
Sb2 0.000 0.000 0.000

ρ = 4.77 g/cm3
VASP energy = -3.35 eV per atom


Entry 5:
Below is crystalline SbH3F at its relaxed geometry, with properties calculated at the GGA-PBE level.

abc: 3.731 3.731 3.731
angles: 90.00 90.00 90.00
Atoms (fractional coordinates):
H1 0.000 0.500 0.000
H2 0.000 0.000 0.500
H3 0.500 0.000 0.000
F1 0.500 0.500 0.500
Sb1 0.000 0.000 0.000

ρ = 4.60 g/cm3
VASP energy = -3.29 eV per atom


Entry 6:
Below is crystalline SbHF at its relaxed geometry, with properties calculated at the GGA-PBE level.

abc: 3.254 4.362 4.700
angles: 64.49 69.98 89.99
Atoms (fractional coordinates):
H1 0.946 0.623 0.413
F1 0.766 0.954 0.775
Sb1 0.727 0.417 0.855

ρ = 4.23 g/cm3
VASP energy = -3.91 eV per atom


Entry 7:
Below is crystalline SbH3F at its relaxed geometry, with properties calculated at the GGA-PBE level.

abc: 3.591 3.591 3.591
angles: 90.00 90.00 90.00
Atoms (fractional coordinates):
H1 0.500 0.000 0.000
H2 0.000 0.000 0.500
H3 0.000 0.500 0.000
Sb1 0.500 0.500 0.500
F1 0.000 0.000 0.000

ρ = 5.15 g/cm3
VASP energy = -2.51 eV per atom


Entry 8:
Below is crystalline SbHF5 at its relaxed geometry, with properties calculated at the GGA-PBE level.

abc: 5.825 5.797 7.896
angles: 121.51 91.53 106.72
Atoms (fractional coordinates):
F1 0.311 0.500 0.083
F2 0.687 0.234 0.558
F3 0.733 0.700 0.374
F4 0.641 0.874 0.769
F5 0.979 0.158 0.338
F6 0.313 0.836 0.438
F7 0.073 0.913 0.751
F8 0.713 0.707 0.035
F9 0.454 0.069 0.195
F10 0.214 0.344 0.665
H1 0.078 0.244 0.478
H2 0.812 0.889 0.759
Sb1 0.394 0.176 0.768
Sb2 0.585 0.874 0.280

ρ = 3.40 g/cm3
VASP energy = -4.47 eV per atom


Entry 9:
Below is crystalline SbHF at its relaxed geometry, with properties calculated at the GGA-PBE level.

abc: 3.529 3.529 4.998
angles: 110.68 110.68 90.00
Atoms (fractional coordinates):
Sb1 0.700 0.700 0.400
H1 0.900 0.900 0.800
F1 0.250 0.250 0.499

ρ = 4.36 g/cm3
VASP energy = -3.65 eV per atom


Entry 10:
Below is crystalline Sb2TeHF at its relaxed geometry, with properties calculated at the GGA-PBE level.

abc: 4.655 4.655 4.511
angles: 90.00 90.00 90.00
Atoms (fractional coordinates):
F1 0.500 0.500 0.500
Sb1 0.000 0.500 0.000
Sb2 0.500 0.000 0.000
Te1 0.000 0.000 0.500
H1 0.000 0.000 0.000

ρ = 6.64 g/cm3
VASP energy = -3.30 eV per atom


Entry 11:
Below is crystalline SbTeHF at its relaxed geometry, with properties calculated at the GGA-PBE level.

abc: 3.898 3.899 7.116
angles: 83.02 82.87 89.09
Atoms (fractional coordinates):
F1 0.513 0.949 0.900
Sb1 0.097 0.529 0.542
Te1 0.634 0.065 0.363
H1 0.575 0.009 0.017

ρ = 4.20 g/cm3
VASP energy = -3.77 eV per atom


Entry 12:
Below is crystalline SbTeHF at its relaxed geometry, with properties calculated at the GGA-PBE level.

abc: 3.742 4.008 6.718
angles: 75.33 74.72 89.94
Atoms (fractional coordinates):
H1 0.837 0.176 0.778
Sb1 0.361 0.152 0.726
Te1 0.520 0.838 0.382
F1 0.263 0.653 0.936

ρ = 4.77 g/cm3
VASP energy = -3.67 eV per atom


Entry 13:
Below is crystalline SbTeHF at its relaxed geometry, with properties calculated at the GGA-PBE level.

abc: 3.139 3.140 9.977
angles: 88.29 87.53 87.02
Atoms (fractional coordinates):
H1 0.280 0.475 0.960
F1 0.491 0.681 0.956
Te1 0.949 0.158 0.304
Sb1 0.906 0.130 0.602

ρ = 4.56 g/cm3
VASP energy = -3.78 eV per atom


Entry 14:
Below is crystalline SbTeHF at its relaxed geometry, with properties calculated at the GGA-PBE level.

abc: 4.421 4.554 4.928
angles: 86.53 83.00 88.20
Atoms (fractional coordinates):
F1 0.112 0.263 0.535
Te1 0.613 0.758 0.086
H1 0.353 0.725 0.794
Sb1 0.100 0.715 0.495

ρ = 4.55 g/cm3
VASP energy = -3.69 eV per atom


Entry 15:
Below is crystalline SbTe2HF at its relaxed geometry, with properties calculated at the GGA-PBE level.

abc: 4.538 4.538 4.789
angles: 90.00 90.00 90.00
Atoms (fractional coordinates):
Te1 0.000 0.500 0.000
Te2 0.500 0.000 0.000
F1 0.500 0.500 0.500
H1 0.000 0.000 0.000
Sb1 0.000 0.000 0.500

ρ = 6.68 g/cm3
VASP energy = -3.07 eV per atom


Entry 16:
Below is crystalline Tl2SbHF at its relaxed geometry, with properties calculated at the GGA-PBE level.

abc: 5.394 3.985 5.394
angles: 90.00 90.00 90.00
Atoms (fractional coordinates):
Sb1 0.000 0.500 0.000
Tl1 0.000 0.000 0.500
Tl2 0.500 0.000 0.000
F1 0.500 0.500 0.500
H1 0.000 0.000 0.000

ρ = 7.88 g/cm3
VASP energy = -3.10 eV per atom


Entry 17:
Below is crystalline ScHF at its relaxed geometry, with properties calculated at the GGA-PBE level.

abc: 3.605 3.605 3.605
angles: 60.00 60.00 60.00
Atoms (fractional coordinates):
F1 0.500 0.500 0.500
Sc1 0.250 0.250 0.250
H1 0.000 0.000 0.000

ρ = 3.25 g/cm3
VASP energy = -5.66 eV per atom


Entry 18:
Below is crystalline ScH3F at its relaxed geometry, with properties calculated at the GGA-PBE level.

abc: 3.749 3.749 3.749
angles: 90.00 90.00 90.00
Atoms (fractional coordinates):
F1 0.500 0.500 0.500
H1 0.500 0.000 0.000
H2 0.000 0.500 0.000
H3 0.000 0.000 0.500
Sc1 0.000 0.000 0.000

ρ = 2.11 g/cm3
VASP energy = -3.88 eV per atom


Entry 19:
Below is crystalline Sc2HF at its relaxed geometry, with properties calculated at the GGA-PBE level.

abc: 4.257 4.257 4.257
angles: 60.00 60.00 60.00
Atoms (fractional coordinates):
Sc1 0.250 0.250 0.250
Sc2 0.750 0.750 0.750
F1 0.500 0.500 0.500
H1 0.000 0.000 0.000

ρ = 3.35 g/cm3
VASP energy = -5.07 eV per atom


Entry 20:
Below is crystalline Sc2HF at its relaxed geometry, with properties calculated at the GGA-PBE level.

abc: 4.969 4.969 6.006
angles: 65.56 65.56 90.00
Atoms (fractional coordinates):
Sc1 0.608 0.125 0.250
Sc2 0.142 0.625 0.250
Sc3 0.875 0.858 0.750
Sc4 0.375 0.392 0.750
F1 0.000 0.000 0.000
F2 0.750 0.250 0.500
H1 0.500 0.500 0.000
H2 0.250 0.750 0.500

ρ = 3.04 g/cm3
VASP energy = -5.78 eV per atom